# 1
# SrSmScO4

An optimized crystal structure of SrSmScO4 (PBEsol, Alexandria).

total energy	-8.210	eV per atom
energy relative to the elements, uncorrected	-3.28	eV per atom

abc: 5.597 12.123 5.813
angles: 90.00 90.00 90.00
Space group Cmc2_1 (No. 36)
Asymmetric unit:
Sr (0.000, 0.105, 0.000) x4
Sm (0.000, 0.393, 0.024) x4
Sc (0.000, 0.247, 0.517) x4
O (0.000, 0.084, 0.582) x4
O (0.000, 0.431, 0.411) x4
O (0.241, 0.278, 0.776) x8


# 2
# HfAs2N

An optimized crystal structure of HfAs2N (PBEsol, Alexandria).

total energy	-7.042	eV per atom
energy relative to the elements, uncorrected	0.27	eV per atom

abc: 5.985 5.985 7.333
angles: 90.00 90.00 90.00
Space group I-42d (No. 122)
Asymmetric unit:
Hf (0.000, 0.000, 0.000) x4
As (0.163, 0.250, 0.625) x8
N (0.000, 0.000, 0.500) x4


# 3
# SbOsPt2

An optimized crystal structure of SbOsPt2 (PBEsol, Alexandria).

total energy	-7.402	eV per atom
energy relative to the elements, uncorrected	0.27	eV per atom

abc: 9.258 3.034 4.670
angles: 90.00 98.41 90.00
Space group C2/m (No. 12)
Asymmetric unit:
Sb (0.000, 0.000, 0.000) x2
Os (0.000, 0.500, 0.500) x2
Pt (0.238, 0.000, 0.735) x4


Repeat the second record exactly.
# HfAs2N

An optimized crystal structure of HfAs2N (PBEsol, Alexandria).

total energy	-7.042	eV per atom
energy relative to the elements, uncorrected	0.27	eV per atom

abc: 5.985 5.985 7.333
angles: 90.00 90.00 90.00
Space group I-42d (No. 122)
Asymmetric unit:
Hf (0.000, 0.000, 0.000) x4
As (0.163, 0.250, 0.625) x8
N (0.000, 0.000, 0.500) x4


Look up the total energy of the first one. -8.210 eV per atom